Record 1
# AcAsPd, relaxed, DFT GGA-PBE
data_AcAsPd
_space_group_name_H-M_alt 'P 1'
_space_group_IT_number 1
_space_group_name_Hall 'P 1'
_cell_length_a 4.4749
_cell_length_b 4.4749
_cell_length_c 4.2135
_cell_angle_alpha 90.00
_cell_angle_beta 90.00
_cell_angle_gamma 120.00
loop_
_atom_site_label
_atom_site_type_symbol
_atom_site_fract_x
_atom_site_fract_y
_atom_site_fract_z
Ac1 Ac 0.0000 0.0000 0.0000
As1 As 0.3333 0.6667 0.5000
Pd1 Pd 0.6667 0.3333 0.5000
# energy	-5.86	eV/atom
# relative energy among the computed polymorphs	0.0	meV per atom
# space group	P-6m2

---

Record 2
# Ba2CuSb2, relaxed, DFT GGA-PBE
data_Ba2CuSb2
_space_group_name_H-M_alt 'P 1'
_space_group_IT_number 1
_space_group_name_Hall 'P 1'
_cell_length_a 9.2017
_cell_length_b 9.2017
_cell_length_c 8.5400
_cell_angle_alpha 90.00
_cell_angle_beta 90.00
_cell_angle_gamma 150.11
loop_
_atom_site_label
_atom_site_type_symbol
_atom_site_fract_x
_atom_site_fract_y
_atom_site_fract_z
Ba1 Ba 0.0342 0.9658 0.5000
Ba2 Ba 0.2178 0.7822 0.8112
Ba3 Ba 0.7822 0.2178 0.3112
Ba4 Ba 0.9658 0.0342 0.0000
Cu1 Cu 0.4109 0.5891 0.6250
Cu2 Cu 0.5891 0.4109 0.1250
Sb1 Sb 0.1521 0.8479 0.1857
Sb2 Sb 0.4362 0.5638 0.2991
Sb3 Sb 0.5638 0.4362 0.7991
Sb4 Sb 0.8479 0.1521 0.6857
# energy	-3.83	eV/atom
# space group	Cmc2_1

---

Record 3
# NbFeSbPt, relaxed, DFT GGA-PBE
data_NbFeSbPt
_space_group_name_H-M_alt 'P 1'
_space_group_IT_number 1
_space_group_name_Hall 'P 1'
_cell_length_a 4.5649
_cell_length_b 4.5649
_cell_length_c 4.5649
_cell_angle_alpha 60.00
_cell_angle_beta 60.00
_cell_angle_gamma 60.00
loop_
_atom_site_label
_atom_site_type_symbol
_atom_site_fract_x
_atom_site_fract_y
_atom_site_fract_z
Nb1 Nb 0.0000 0.0000 0.0000
Fe1 Fe 0.5000 0.5000 0.5000
Sb1 Sb 0.2500 0.2500 0.2500
Pt1 Pt 0.7500 0.7500 0.7500
# energy	-7.17	eV/atom
# relative energy among the computed polymorphs	0.0	meV per atom
# space group	F-43m

---

Record 4
# ZrCoBAu, relaxed, DFT GGA-PBE
data_ZrCoBAu
_space_group_name_H-M_alt 'P 1'
_space_group_IT_number 1
_space_group_name_Hall 'P 1'
_cell_length_a 4.3576
_cell_length_b 4.3576
_cell_length_c 4.3576
_cell_angle_alpha 60.00
_cell_angle_beta 60.00
_cell_angle_gamma 60.00
loop_
_atom_site_label
_atom_site_type_symbol
_atom_site_fract_x
_atom_site_fract_y
_atom_site_fract_z
Zr1 Zr 0.0000 0.0000 0.0000
Co1 Co 0.7500 0.7500 0.7500
B1 B 0.5000 0.5000 0.5000
Au1 Au 0.2500 0.2500 0.2500
# energy	-5.95	eV/atom
# relative energy among the computed polymorphs	172.1	meV per atom
# space group	F-43m

---

Record 5
# Al2Au2SeS3, relaxed, DFT GGA-PBE
data_Al2Au2SeS3
_space_group_name_H-M_alt 'P 1'
_space_group_IT_number 1
_space_group_name_Hall 'P 1'
_cell_length_a 6.7190
_cell_length_b 6.7190
_cell_length_c 5.7425
_cell_angle_alpha 114.58
_cell_angle_beta 114.58
_cell_angle_gamma 50.21
loop_
_atom_site_label
_atom_site_type_symbol
_atom_site_fract_x
_atom_site_fract_y
_atom_site_fract_z
Al1 Al 0.1279 0.1279 0.3836
Al2 Al 0.8721 0.8721 0.6164
Au1 Au 0.3919 0.3442 0.1307
Au2 Au 0.6558 0.6081 0.8693
Se1 Se 0.2278 0.7722 0.0000
S1 S 0.0036 0.4971 0.2898
S2 S 0.5029 0.9964 0.7102
S3 S 0.7921 0.2079 0.5000
# energy	-4.30	eV/atom
# space group	C2

---

Record 6
# CuGeIrSe3, relaxed, DFT GGA-PBE
data_CuGeIrSe3
_space_group_name_H-M_alt 'P 1'
_space_group_IT_number 1
_space_group_name_Hall 'P 1'
_cell_length_a 6.5202
_cell_length_b 6.5202
_cell_length_c 9.4547
_cell_angle_alpha 90.00
_cell_angle_beta 90.00
_cell_angle_gamma 145.45
loop_
_atom_site_label
_atom_site_type_symbol
_atom_site_fract_x
_atom_site_fract_y
_atom_site_fract_z
Cu1 Cu 0.0407 0.9593 0.7500
Cu2 Cu 0.9593 0.0407 0.2500
Ge1 Ge 0.2421 0.7579 0.2500
Ge2 Ge 0.7579 0.2421 0.7500
Ir1 Ir 0.5000 0.5000 0.0000
Ir2 Ir 0.5000 0.5000 0.5000
Se1 Se 0.1349 0.8651 0.5304
Se2 Se 0.1349 0.8651 0.9696
Se3 Se 0.4145 0.5855 0.7500
Se4 Se 0.5855 0.4145 0.2500
Se5 Se 0.8651 0.1349 0.0304
Se6 Se 0.8651 0.1349 0.4696
# energy	-4.66	eV/atom
# space group	Cmcm

---

Record 7
# MgPaBe, relaxed, DFT GGA-PBE
data_MgPaBe
_space_group_name_H-M_alt 'P 1'
_space_group_IT_number 1
_space_group_name_Hall 'P 1'
_cell_length_a 4.7657
_cell_length_b 4.7657
_cell_length_c 4.7657
_cell_angle_alpha 60.00
_cell_angle_beta 60.00
_cell_angle_gamma 60.00
loop_
_atom_site_label
_atom_site_type_symbol
_atom_site_fract_x
_atom_site_fract_y
_atom_site_fract_z
Mg1 Mg 0.0000 0.0000 0.0000
Pa1 Pa 0.7500 0.7500 0.7500
Be1 Be 0.5000 0.5000 0.5000
# energy	-3.56	eV/atom
# relative energy among the computed polymorphs	836.9	meV per atom
# space group	F-43m

---

Record 8
# LiCuTcSe2S, relaxed, DFT GGA-PBE
data_LiCuTcSe2S
_space_group_name_H-M_alt 'P 1'
_space_group_IT_number 1
_space_group_name_Hall 'P 1'
_cell_length_a 6.5412
_cell_length_b 6.5412
_cell_length_c 9.3757
_cell_angle_alpha 90.00
_cell_angle_beta 90.00
_cell_angle_gamma 148.67
loop_
_atom_site_label
_atom_site_type_symbol
_atom_site_fract_x
_atom_site_fract_y
_atom_site_fract_z
Li1 Li 0.2442 0.7558 0.7500
Li2 Li 0.7558 0.2442 0.2500
Cu1 Cu 0.0344 0.9656 0.2500
Cu2 Cu 0.9656 0.0344 0.7500
Tc1 Tc 0.5000 0.5000 0.0000
Tc2 Tc 0.5000 0.5000 0.5000
Se1 Se 0.1449 0.8551 0.0454
Se2 Se 0.1449 0.8551 0.4546
Se3 Se 0.8551 0.1449 0.5454
Se4 Se 0.8551 0.1449 0.9546
S1 S 0.4201 0.5799 0.2500
S2 S 0.5799 0.4201 0.7500
# energy	-4.89	eV/atom
# relative energy among the computed polymorphs	52.9	meV per atom
# space group	Cmcm

---

Record 9
# RbLiAsAu, relaxed, DFT GGA-PBE
data_RbLiAsAu
_space_group_name_H-M_alt 'P 1'
_space_group_IT_number 1
_space_group_name_Hall 'P 1'
_cell_length_a 5.0378
_cell_length_b 5.0378
_cell_length_c 5.0378
_cell_angle_alpha 60.00
_cell_angle_beta 60.00
_cell_angle_gamma 60.00
loop_
_atom_site_label
_atom_site_type_symbol
_atom_site_fract_x
_atom_site_fract_y
_atom_site_fract_z
Rb1 Rb 0.0000 0.0000 0.0000
Li1 Li 0.2500 0.2500 0.2500
As1 As 0.7500 0.7500 0.7500
Au1 Au 0.5000 0.5000 0.5000
# energy	-2.77	eV/atom
# relative energy among the computed polymorphs	0.0	meV per atom
# space group	F-43m

---

Record 10
# PrNdNi2P2, relaxed, DFT GGA-PBE
data_PrNdNi2P2
_space_group_name_H-M_alt 'P 1'
_space_group_IT_number 1
_space_group_name_Hall 'P 1'
_cell_length_a 3.9739
_cell_length_b 3.9739
_cell_length_c 8.0871
_cell_angle_alpha 90.00
_cell_angle_beta 90.00
_cell_angle_gamma 120.00
loop_
_atom_site_label
_atom_site_type_symbol
_atom_site_fract_x
_atom_site_fract_y
_atom_site_fract_z
Pr1 Pr 0.0000 0.0000 0.0000
Nd1 Nd 0.0000 0.0000 0.5000
Ni1 Ni 0.3333 0.6667 0.7490
Ni2 Ni 0.6667 0.3333 0.2510
P1 P 0.3333 0.6667 0.2521
P2 P 0.6667 0.3333 0.7479
# energy	-6.40	eV/atom
# space group	P-3m1

---

Record 11
# Pa3Co7B2, relaxed, DFT GGA-PBE
data_Pa3Co7B2
_space_group_name_H-M_alt 'P 1'
_space_group_IT_number 1
_space_group_name_Hall 'P 1'
_cell_length_a 7.6148
_cell_length_b 7.6148
_cell_length_c 7.6148
_cell_angle_alpha 38.50
_cell_angle_beta 38.50
_cell_angle_gamma 38.50
loop_
_atom_site_label
_atom_site_type_symbol
_atom_site_fract_x
_atom_site_fract_y
_atom_site_fract_z
Pa1 Pa 0.0000 0.0000 0.0000
Pa2 Pa 0.1475 0.1475 0.1475
Pa3 Pa 0.8525 0.8525 0.8525
Co1 Co 0.0726 0.5663 0.5663
Co2 Co 0.4337 0.4337 0.9274
Co3 Co 0.4337 0.9274 0.4337
Co4 Co 0.5000 0.5000 0.5000
Co5 Co 0.5663 0.0726 0.5663
Co6 Co 0.5663 0.5663 0.0726
Co7 Co 0.9274 0.4337 0.4337
B1 B 0.3320 0.3320 0.3320
B2 B 0.6680 0.6680 0.6680
# energy	-8.12	eV/atom
# space group	R-3m

---

Record 12
# TbDyW2C3, relaxed, DFT GGA-PBE
data_TbDyW2C3
_space_group_name_H-M_alt 'P 1'
_space_group_IT_number 1
_space_group_name_Hall 'P 1'
_cell_length_a 6.1614
_cell_length_b 6.1614
_cell_length_c 5.7329
_cell_angle_alpha 111.90
_cell_angle_beta 111.90
_cell_angle_gamma 31.33
loop_
_atom_site_label
_atom_site_type_symbol
_atom_site_fract_x
_atom_site_fract_y
_atom_site_fract_z
Tb1 Tb 0.0000 0.0000 0.0000
Dy1 Dy 0.2198 0.2198 0.6391
W1 W 0.4539 0.4539 0.4933
W2 W 0.7655 0.7655 0.1443
C1 C 0.3597 0.3597 0.0844
C2 C 0.6100 0.6100 0.8182
C3 C 0.8591 0.8591 0.5530
# energy	-9.31	eV/atom
# space group	Cm

---

| no. | mass density (g cm⁻³) |
| --- | --- |
| 1 | 9.28 |
| 2 | 5.36 |
| 3 | 11.49 |
| 4 | 10.16 |
| 5 | 5.85 |
| 6 | 8.24 |
| 7 | 5.74 |
| 8 | 5.71 |
| 9 | 6.69 |
| 10 | 6.97 |
| 11 | 12.18 |
| 12 | 11.54 |